# TmPaB12

Crystalline TmPaB12 at its relaxed geometry (PBE, Alexandria via LeMat-Bulk).

a = 4.072 Å, b = 4.072 Å, c = 8.161 Å
α = 90.00°, β = 90.00°, γ = 90.00°
Atoms (fractional coordinates):
Tm (0.000, 0.000, 0.000)
Pa (0.000, 0.000, 0.500)
B (0.197, 0.500, 0.250)
B (0.197, 0.500, 0.750)
B (0.500, 0.197, 0.250)
B (0.500, 0.197, 0.750)
B (0.500, 0.500, 0.099)
B (0.500, 0.500, 0.401)
B (0.500, 0.500, 0.599)
B (0.500, 0.500, 0.901)
B (0.500, 0.803, 0.250)
B (0.500, 0.803, 0.750)
B (0.803, 0.500, 0.250)
B (0.803, 0.500, 0.750)

E = -7.08 eV/atom
magnetic moment = 0.98 Bohr magnetons per cell
energy of formation from the pure elements = -0.356 eV per atom